(1)
This record from the Alexandria database describes crystalline Nd2ErRu at its relaxed geometry. The functional is PBE.

Cell and atoms, written as POSCAR:
```
Nd2ErRu
1.0
3.5135 0.0000 0.0000
0.0000 3.5135 0.0000
0.0000 0.0000 9.1660
Nd Er Ru
2 1 1
Cartesian
0.0000 0.0000 1.7267
0.0000 0.0000 7.4393
1.7568 1.7568 4.5830
1.7568 1.7568 0.0000
```

Output
**Total magnetization**: 0.02 μB/atom
**E_form**: -0.01 eV/atom

=====

(2)
This record from the Alexandria database describes crystalline Tb2Pm7Ho2 at its relaxed geometry. The functional is PBE.

Cell and atoms, written as POSCAR:
```
Tb2Pm7Ho2
1.0
-2.8271 8.0368 4.0938
2.8271 -8.0368 4.0938
2.8271 8.0368 -4.0938
Tb Pm Ho
2 7 2
Cartesian
0.0000 3.2273 0.0000
0.0000 12.8463 0.0000
2.8271 -2.1713 1.6719
0.0000 0.0000 1.6547
2.8271 5.4166 -0.0130
2.8271 2.1713 1.6719
0.0000 2.6202 4.0809
0.0000 5.8937 2.4176
0.0000 10.1798 2.4176
2.8271 0.0000 4.0903
0.0000 0.0000 6.4350
```

Output
**Total magnetization**: 0.00 μB/atom
**E_form**: 0.11 eV/atom

=====

Q: The lowest E_form belongs to which entry?
A: Nd2ErRu

=====

Q: Among the records above, which one has the highest total magnetization?
A: Nd2ErRu

=====

Q: What is the formula in the second record?
A: Tb2Pm7Ho2

=====

Q: Among the records above, which one has the highest E_form?
A: Tb2Pm7Ho2